A.
PBE with a Hubbard U K2CoH2S2O10, relaxed; crystal system = triclinic; V = 13.98 A^3/atom; space-group type = P-1
1.0
5.267 0.000 0.000
-1.759 6.395 0.000
-0.616 -2.004 7.056
K Co H S O
2 1 2 2 10
Cartesian
0.340 1.727 1.561 K
2.552 2.663 5.495 K
2.325 -1.002 3.528 Co
-0.251 4.775 5.577 H
3.143 -0.384 1.479 H
-0.134 0.247 5.089 S
3.026 4.144 1.966 S
-1.106 4.117 2.930 O
-0.066 -1.011 5.863 O
-0.171 1.433 5.950 O
1.170 0.392 4.254 O
2.317 -0.121 1.977 O
0.575 4.512 5.079 O
1.722 3.999 2.802 O
3.063 2.957 1.106 O
2.958 5.402 1.193 O
3.997 0.274 4.125 O

B.
PBE with a Hubbard U K2CoH2S2O10, relaxed; crystal system = triclinic; V = 15.87 A^3/atom; space-group type = P-1
1.0
4.806 0.000 0.000
-1.284 6.149 0.000
-1.582 -0.824 9.128
K Co H S O
2 1 2 2 10
Cartesian
0.050 1.900 2.377 K
1.891 3.425 6.751 K
1.612 -0.412 4.564 Co
-1.220 -0.769 9.040 H
3.161 6.094 0.088 H
-0.431 0.832 6.430 S
2.371 4.493 2.699 S
-1.103 4.988 3.060 O
-0.446 1.808 7.508 O
-0.561 4.770 5.998 O
0.367 1.257 5.252 O
0.392 -0.410 7.092 O
1.549 5.735 2.037 O
1.573 4.068 3.876 O
2.502 0.555 3.131 O
2.387 3.517 1.620 O
3.044 0.337 6.069 O

The structure with the greatest stability is A.